1.
VASP calculation (SCAN) on a PBEsol-optimized structure of Mg2Sn2Pb.

Cell and atoms, written as CIF:
```
data_Mg2Sn2Pb
_cell_length_a 3.290
_cell_length_b 8.754
_cell_length_c 8.754
_cell_angle_alpha 90.00
_cell_angle_beta 90.00
_cell_angle_gamma 90.00
_space_group_name_H-M_alt 'P 1'
_space_group_IT_number 1
loop_
_space_group_symop_operation_xyz
'x,y,z'
loop_
_atom_site_label
_atom_site_type_symbol
_atom_site_fract_x
_atom_site_fract_y
_atom_site_fract_z
Pb1 Pb 0.000 0.000 0.000
Pb2 Pb 0.000 0.500 0.500
Mg1 Mg 0.500 0.134 0.634
Mg2 Mg 0.500 0.634 0.866
Mg3 Mg 0.500 0.866 0.366
Mg4 Mg 0.500 0.366 0.134
Sn1 Sn 0.000 0.338 0.838
Sn2 Sn 0.000 0.838 0.662
Sn3 Sn 0.000 0.662 0.162
Sn4 Sn 0.000 0.162 0.338
```

Output
energy of formation from the pure elements	-106	meV/atom
total DFT energy (no corrections)	-316.204	eV for the cell shown
size of the total moment	0.00	μB/f.u.

2.
VASP calculation (SCAN) on a PBEsol-optimized structure of Mg2Sn2Pb.

Cell and atoms, written as CIF:
```
data_Mg2Sn2Pb
_cell_length_a 4.703
_cell_length_b 4.703
_cell_length_c 6.910
_cell_angle_alpha 109.89
_cell_angle_beta 109.89
_cell_angle_gamma 90.00
_space_group_name_H-M_alt 'P 1'
_space_group_IT_number 1
loop_
_space_group_symop_operation_xyz
'x,y,z'
loop_
_atom_site_label
_atom_site_type_symbol
_atom_site_fract_x
_atom_site_fract_y
_atom_site_fract_z
Pb1 Pb 0.000 0.000 0.000
Mg1 Mg 0.250 0.750 0.500
Mg2 Mg 0.750 0.250 0.500
Sn1 Sn 0.386 0.386 0.773
Sn2 Sn 0.614 0.614 0.227
```

Output
energy of formation from the pure elements	-17	meV/atom
total DFT energy (no corrections)	-157.656	eV for the cell shown
size of the total moment	0.00	μB/f.u.

3.
VASP calculation (SCAN) on a PBEsol-optimized structure of SrMgPb2.

Cell and atoms, written as CIF:
```
data_SrMgPb2
_cell_length_a 4.646
_cell_length_b 4.969
_cell_length_c 4.969
_cell_angle_alpha 90.00
_cell_angle_beta 90.00
_cell_angle_gamma 90.00
_space_group_name_H-M_alt 'P 1'
_space_group_IT_number 1
loop_
_space_group_symop_operation_xyz
'x,y,z'
loop_
_atom_site_label
_atom_site_type_symbol
_atom_site_fract_x
_atom_site_fract_y
_atom_site_fract_z
Pb1 Pb 0.000 0.000 0.500
Pb2 Pb 0.000 0.500 0.000
Sr1 Sr 0.500 0.500 0.500
Mg1 Mg 0.500 0.000 0.000
```

Output
energy of formation from the pure elements	-463	meV/atom
total DFT energy (no corrections)	-180.664	eV for the cell shown
size of the total moment	0.00	μB/f.u.

4.
VASP calculation (SCAN) on a PBEsol-optimized structure of SrMgPb.

Cell and atoms, written as CIF:
```
data_SrMgPb
_cell_length_a 4.898
_cell_length_b 8.177
_cell_length_c 8.933
_cell_angle_alpha 90.00
_cell_angle_beta 90.00
_cell_angle_gamma 90.00
_space_group_name_H-M_alt 'P 1'
_space_group_IT_number 1
loop_
_space_group_symop_operation_xyz
'x,y,z'
loop_
_atom_site_label
_atom_site_type_symbol
_atom_site_fract_x
_atom_site_fract_y
_atom_site_fract_z
Mg1 Mg 0.750 0.352 0.934
Mg2 Mg 0.250 0.148 0.434
Mg3 Mg 0.250 0.648 0.066
Mg4 Mg 0.750 0.852 0.566
Pb1 Pb 0.750 0.725 0.890
Pb2 Pb 0.250 0.775 0.390
Pb3 Pb 0.250 0.275 0.110
Pb4 Pb 0.750 0.225 0.610
Sr1 Sr 0.750 0.488 0.311
Sr2 Sr 0.250 0.012 0.811
Sr3 Sr 0.250 0.512 0.689
Sr4 Sr 0.750 0.988 0.189
```

Output
energy of formation from the pure elements	-661	meV/atom
total DFT energy (no corrections)	-420.058	eV for the cell shown
size of the total moment	0.00	μB/f.u.

5.
VASP calculation (SCAN) on a PBEsol-optimized structure of SrMgPb2.

Cell and atoms, written as CIF:
```
data_SrMgPb2
_cell_length_a 3.754
_cell_length_b 3.754
_cell_length_c 10.141
_cell_angle_alpha 79.33
_cell_angle_beta 79.33
_cell_angle_gamma 60.00
_space_group_name_H-M_alt 'P 1'
_space_group_IT_number 1
loop_
_space_group_symop_operation_xyz
'x,y,z'
loop_
_atom_site_label
_atom_site_type_symbol
_atom_site_fract_x
_atom_site_fract_y
_atom_site_fract_z
Mg1 Mg 0.000 0.000 0.000
Pb1 Pb 0.258 0.258 0.227
Pb2 Pb 0.742 0.742 0.773
Sr1 Sr 0.500 0.500 0.500
```

Output
energy of formation from the pure elements	-274	meV/atom
total DFT energy (no corrections)	-179.909	eV for the cell shown
size of the total moment	0.00	μB/f.u.

6.
VASP calculation (SCAN) on a PBEsol-optimized structure of SrMg2Pb2.

Cell and atoms, written as CIF:
```
data_SrMg2Pb2
_cell_length_a 4.739
_cell_length_b 4.739
_cell_length_c 7.305
_cell_angle_alpha 108.93
_cell_angle_beta 108.93
_cell_angle_gamma 90.00
_space_group_name_H-M_alt 'P 1'
_space_group_IT_number 1
loop_
_space_group_symop_operation_xyz
'x,y,z'
loop_
_atom_site_label
_atom_site_type_symbol
_atom_site_fract_x
_atom_site_fract_y
_atom_site_fract_z
Pb1 Pb 0.384 0.384 0.768
Pb2 Pb 0.616 0.616 0.232
Sr1 Sr 0.000 0.000 0.000
Mg1 Mg 0.250 0.750 0.500
Mg2 Mg 0.750 0.250 0.500
```

Output
energy of formation from the pure elements	-502	meV/atom
total DFT energy (no corrections)	-186.297	eV for the cell shown
size of the total moment	0.00	μB/f.u.

7.
VASP calculation (SCAN) on a PBEsol-optimized structure of SrMgPb2.

Cell and atoms, written as CIF:
```
data_SrMgPb2
_cell_length_a 3.900
_cell_length_b 4.246
_cell_length_c 7.368
_cell_angle_alpha 90.00
_cell_angle_beta 90.00
_cell_angle_gamma 90.00
_space_group_name_H-M_alt 'P 1'
_space_group_IT_number 1
loop_
_space_group_symop_operation_xyz
'x,y,z'
loop_
_atom_site_label
_atom_site_type_symbol
_atom_site_fract_x
_atom_site_fract_y
_atom_site_fract_z
Mg1 Mg 0.500 0.500 0.799
Pb1 Pb 0.000 0.000 0.988
Pb2 Pb 0.500 0.500 0.217
Sr1 Sr 0.000 0.000 0.496
```

Output
energy of formation from the pure elements	-280	meV/atom
total DFT energy (no corrections)	-179.931	eV for the cell shown
size of the total moment	0.00	μB/f.u.

8.
VASP calculation (SCAN) on a PBEsol-optimized structure of MgTa2Pb.

Cell and atoms, written as CIF:
```
data_MgTa2Pb
_cell_length_a 2.944
_cell_length_b 2.944
_cell_length_c 9.625
_cell_angle_alpha 90.00
_cell_angle_beta 90.00
_cell_angle_gamma 90.00
_space_group_name_H-M_alt 'P 1'
_space_group_IT_number 1
loop_
_space_group_symop_operation_xyz
'x,y,z'
loop_
_atom_site_label
_atom_site_type_symbol
_atom_site_fract_x
_atom_site_fract_y
_atom_site_fract_z
Mg1 Mg 0.000 0.000 0.472
Pb1 Pb 0.500 0.500 0.767
Ta1 Ta 0.000 0.000 0.017
Ta2 Ta 0.500 0.500 0.243
```

Output
energy of formation from the pure elements	348	meV/atom
total DFT energy (no corrections)	-212.530	eV for the cell shown
size of the total moment	0.00	μB/f.u.

9.
VASP calculation (SCAN) on a PBEsol-optimized structure of MgTaPb2.

Cell and atoms, written as CIF:
```
data_MgTaPb2
_cell_length_a 3.881
_cell_length_b 3.881
_cell_length_c 5.958
_cell_angle_alpha 90.00
_cell_angle_beta 90.00
_cell_angle_gamma 90.00
_space_group_name_H-M_alt 'P 1'
_space_group_IT_number 1
loop_
_space_group_symop_operation_xyz
'x,y,z'
loop_
_atom_site_label
_atom_site_type_symbol
_atom_site_fract_x
_atom_site_fract_y
_atom_site_fract_z
Mg1 Mg 0.500 0.500 0.749
Pb1 Pb 0.000 0.000 0.977
Pb2 Pb 0.500 0.500 0.283
Ta1 Ta 0.000 0.000 0.491
```

Output
energy of formation from the pure elements	345	meV/atom
total DFT energy (no corrections)	-221.738	eV for the cell shown
size of the total moment	0.00	μB/f.u.

10.
VASP calculation (SCAN) on a PBEsol-optimized structure of MgTaPb.

Cell and atoms, written as CIF:
```
data_MgTaPb
_cell_length_a 3.002
_cell_length_b 3.002
_cell_length_c 7.647
_cell_angle_alpha 101.32
_cell_angle_beta 101.32
_cell_angle_gamma 90.00
_space_group_name_H-M_alt 'P 1'
_space_group_IT_number 1
loop_
_space_group_symop_operation_xyz
'x,y,z'
loop_
_atom_site_label
_atom_site_type_symbol
_atom_site_fract_x
_atom_site_fract_y
_atom_site_fract_z
Mg1 Mg 0.982 0.982 0.963
Pb1 Pb 0.679 0.679 0.359
Ta1 Ta 0.339 0.339 0.678
```

Output
energy of formation from the pure elements	338	meV/atom
total DFT energy (no corrections)	-146.325	eV for the cell shown
size of the total moment	0.00	μB/f.u.

11.
VASP calculation (SCAN) on a PBEsol-optimized structure of MgTaPb2.

Cell and atoms, written as CIF:
```
data_MgTaPb2
_cell_length_a 3.671
_cell_length_b 4.901
_cell_length_c 4.901
_cell_angle_alpha 90.00
_cell_angle_beta 90.00
_cell_angle_gamma 90.00
_space_group_name_H-M_alt 'P 1'
_space_group_IT_number 1
loop_
_space_group_symop_operation_xyz
'x,y,z'
loop_
_atom_site_label
_atom_site_type_symbol
_atom_site_fract_x
_atom_site_fract_y
_atom_site_fract_z
Mg1 Mg 0.500 0.000 0.000
Pb1 Pb 0.000 0.000 0.500
Pb2 Pb 0.000 0.500 0.000
Ta1 Ta 0.500 0.500 0.500
```

Output
energy of formation from the pure elements	441	meV/atom
total DFT energy (no corrections)	-221.354	eV for the cell shown
size of the total moment	0.00	μB/f.u.

12.
VASP calculation (SCAN) on a PBEsol-optimized structure of Mg2TaPb.

Cell and atoms, written as CIF:
```
data_Mg2TaPb
_cell_length_a 3.143
_cell_length_b 4.357
_cell_length_c 6.067
_cell_angle_alpha 90.00
_cell_angle_beta 90.00
_cell_angle_gamma 90.00
_space_group_name_H-M_alt 'P 1'
_space_group_IT_number 1
loop_
_space_group_symop_operation_xyz
'x,y,z'
loop_
_atom_site_label
_atom_site_type_symbol
_atom_site_fract_x
_atom_site_fract_y
_atom_site_fract_z
Mg1 Mg 0.000 0.000 0.728
Mg2 Mg 0.000 0.000 0.272
Pb1 Pb 0.500 0.500 0.000
Ta1 Ta 0.500 0.500 0.500
```

Output
energy of formation from the pure elements	295	meV/atom
total DFT energy (no corrections)	-151.133	eV for the cell shown
size of the total moment	0.00	μB/f.u.

Question: Which of these has the highest total DFT energy (no corrections)?
Answer: MgTaPb

Question: energy of formation from the pure elements of number 8 (MgTa2Pb)?
Answer: 348 meV/atom

Question: Look up the total DFT energy (no corrections) of the twelfth one.
Answer: -151.133 eV for the cell shown